VASP calculation (PBE+U) on ZnNiBF2 after structural relaxation.

POSCAR file:
```
ZnNiBF2
1.0
3.8185 0.0000 0.0000
0.0000 4.4737 0.0000
0.0000 0.0000 3.8185
Ni Zn B F
1 1 1 2
direct
0.0000 0.0000 0.0000
0.5000 0.5000 0.5000
0.0000 0.5000 0.0000
0.5000 0.0000 0.0000
0.0000 0.0000 0.5000
```

Electronic total energy = -3.169 eV per atom
Space group = P4/mmm (123)
Total magnetic moment = 1.1 μB per cell